[1]
! PBE-GGA SnS2N, optimized geometry; values from VASP
&SYSTEM
  ibrav = 0, nat = 4, ntyp = 3
/
ATOMIC_SPECIES
S 32.06 S.upf
Sn 118.71 Sn.upf
N 14.01 N.upf
ATOMIC_POSITIONS crystal
S 0.250 0.250 0.250
S 0.750 0.750 0.750
Sn 0.500 0.500 0.500
N 0.000 0.000 0.000
CELL_PARAMETERS angstrom
0.000 3.222 3.222
3.222 0.000 3.222
3.222 3.222 0.000
! * symmetry: Fm-3m (225)
! * ΔE to the lowest computed polymorph: 851 meV/atom
! * raw total energy: -3.81 eV/atom
! * formation energy from raw total energies: 1.3391 eV/atom

[2]
! PBE-GGA Sn2SN2, optimized geometry; values from VASP
&SYSTEM
  ibrav = 0, nat = 5, ntyp = 3
/
ATOMIC_SPECIES
Sn 118.71 Sn.upf
S 32.06 S.upf
N 14.01 N.upf
ATOMIC_POSITIONS crystal
Sn 0.624 0.248 0.123
Sn 0.376 0.752 0.877
S 0.000 0.000 0.000
N 0.046 0.092 0.460
N 0.954 0.908 0.540
CELL_PARAMETERS angstrom
5.160 0.000 0.000
-2.580 2.835 -0.321
0.000 -0.518 11.409
! * symmetry: C2/m (12)
! * raw total energy: -5.66 eV/atom
! * formation energy from raw total energies: 0.0991 eV/atom

[3]
! PBE-GGA Sn2S2N, optimized geometry; values from VASP
&SYSTEM
  ibrav = 0, nat = 10, ntyp = 3
/
ATOMIC_SPECIES
Sn 118.71 Sn.upf
S 32.06 S.upf
N 14.01 N.upf
ATOMIC_POSITIONS crystal
Sn 0.844 0.776 0.688
Sn 0.156 0.224 0.312
Sn 0.630 0.721 0.261
Sn 0.370 0.279 0.739
S 0.890 0.928 0.781
S 0.110 0.072 0.219
S 0.572 0.522 0.144
S 0.428 0.478 0.856
N 0.702 0.474 0.405
N 0.298 0.526 0.595
CELL_PARAMETERS angstrom
3.828 0.000 -0.693
0.815 11.983 4.501
-0.746 5.104 6.802
! * symmetry: C2/m (12)
! * raw total energy: -4.93 eV/atom
! * formation energy from raw total energies: -0.0159 eV/atom

- The lowest raw total energy belongs to which entry?
  Sn2SN2